First-principles (GGA-PBE) data for K2LiGe after structural relaxation, as listed in Alexandria.

abc: 4.7705 4.7705 12.4018
angles: 78.91 78.91 90.00
Positions (direct):
Ge 0.0000 0.0000 0.0000
Ge 0.7500 0.2500 0.5000
K 0.6278 0.1250 0.2500
K 0.1222 0.6250 0.2500
K 0.3750 0.3722 0.7500
K 0.8750 0.8778 0.7500
Li 0.5000 0.5000 0.0000
Li 0.2500 0.7500 0.5000

Calculated values
**E_tot**: -1.86 eV per atom
**Total moment**: 0.0 Bohr magnetons per cell
**Energy of formation**: 0.323 eV per atom

First-principles (GGA-PBE) data for KLiGe2 after structural relaxation, as listed in Alexandria.

abc: 5.0727 5.0727 5.0727
angles: 60.00 60.00 60.00
Positions (direct):
Ge 0.2500 0.2500 0.2500
Ge 0.7500 0.7500 0.7500
K 0.5000 0.5000 0.5000
Li 0.0000 0.0000 0.0000

Calculated values
**Relative energy among the computed polymorphs**: 0.224 eV/atom
**E_tot**: -2.83 eV per atom
**Total moment**: 0.0 Bohr magnetons per cell
**Energy of formation**: 0.236 eV per atom

First-principles (GGA-PBE) data for KLi2MgGe after structural relaxation, as listed in Alexandria.

abc: 5.1941 5.1941 5.2358
angles: 90.00 90.00 90.00
Positions (direct):
Mg 0.0000 0.0000 0.5000
Ge 0.0000 0.0000 0.0000
K 0.5000 0.5000 0.5000
Li 0.0000 0.5000 0.0000
Li 0.5000 0.0000 0.0000

Calculated values
**E_tot**: -2.31 eV per atom
**Total moment**: 0.0 Bohr magnetons per cell
**Energy of formation**: -0.085 eV per atom

First-principles (GGA-PBE) data for KLiMgGe after structural relaxation, as listed in Alexandria.

abc: 5.0210 5.0210 5.0210
angles: 60.00 60.00 60.00
Positions (direct):
Mg 0.5000 0.5000 0.5000
Ge 0.7500 0.7500 0.7500
K 0.2500 0.2500 0.2500
Li 0.0000 0.0000 0.0000

Calculated values
**E_tot**: -2.33 eV per atom
**Total moment**: 0.0 Bohr magnetons per cell
**Energy of formation**: -0.028 eV per atom

First-principles (GGA-PBE) data for KLi2MnGe after structural relaxation, as listed in Alexandria.

abc: 5.2527 4.7321 5.2527
angles: 90.00 90.00 90.00
Positions (direct):
Ge 0.0000 0.5000 0.0000
Mn 0.0000 0.0000 0.0000
K 0.5000 0.5000 0.5000
Li 0.0000 0.0000 0.5000
Li 0.5000 0.0000 0.0000

Calculated values
**E_tot**: -3.52 eV per atom
**Total moment**: 3.2 Bohr magnetons per cell
**Energy of formation**: 0.220 eV per atom

First-principles (GGA-PBE) data for KNaLi2Ge after structural relaxation, as listed in Alexandria.

abc: 5.1440 5.1440 5.6317
angles: 90.00 90.00 90.00
Positions (direct):
Na 0.0000 0.0000 0.5000
Ge 0.0000 0.0000 0.0000
K 0.5000 0.5000 0.5000
Li 0.0000 0.5000 0.0000
Li 0.5000 0.0000 0.0000

Calculated values
**E_tot**: -2.28 eV per atom
**Total moment**: 0.0 Bohr magnetons per cell
**Energy of formation**: -0.103 eV per atom

First-principles (GGA-PBE) data for K2NaLiGe after structural relaxation, as listed in Alexandria.

abc: 6.3074 5.6113 6.3074
angles: 90.00 90.00 90.00
Positions (direct):
Na 0.0000 0.5000 0.0000
Ge 0.5000 0.5000 0.5000
K 0.0000 0.0000 0.5000
K 0.5000 0.0000 0.0000
Li 0.0000 0.0000 0.0000

Calculated values
**E_tot**: -1.48 eV per atom
**Total moment**: 1.9 Bohr magnetons per cell
**Energy of formation**: 0.526 eV per atom

First-principles (GGA-PBE) data for KLi2NbGe after structural relaxation, as listed in Alexandria.

abc: 5.1467 5.1745 5.1467
angles: 90.00 90.00 90.00
Positions (direct):
K 0.5000 0.5000 0.5000
Nb 0.0000 0.5000 0.0000
Ge 0.0000 0.0000 0.0000
Li 0.0000 0.0000 0.5000
Li 0.5000 0.0000 0.0000

Calculated values
**Relative energy among the computed polymorphs**: 0.000 eV/atom
**E_tot**: -3.53 eV per atom
**Total moment**: 3.2 Bohr magnetons per cell
**Energy of formation**: 0.397 eV per atom

First-principles (GGA-PBE) data for KLi2NbGe after structural relaxation, as listed in Alexandria.

abc: 5.2901 5.9869 5.2901
angles: 90.00 90.00 90.00
Positions (direct):
K 0.0000 0.5000 0.0000
Nb 0.0000 0.0000 0.0000
Ge 0.5000 0.5000 0.5000
Li 0.0000 0.0000 0.5000
Li 0.5000 0.0000 0.0000

Calculated values
**Relative energy among the computed polymorphs**: 1.028 eV/atom
**E_tot**: -2.50 eV per atom
**Total moment**: 4.0 Bohr magnetons per cell
**Energy of formation**: 1.424 eV per atom

First-principles (GGA-PBE) data for K2LiGeO4 after structural relaxation, as listed in Alexandria.

abc: 5.7379 5.4661 5.4661
angles: 74.01 58.34 58.34
Positions (direct):
K 0.0000 0.5000 0.5000
K 0.5000 0.5000 0.5000
Li 0.0000 0.0000 0.0000
Ge 0.5000 0.0000 0.0000
O 0.1464 0.2816 0.0000
O 0.8536 0.0000 0.7184
O 0.5721 0.0000 0.2816
O 0.4279 0.7184 0.0000

Calculated values
**E_tot**: -5.05 eV per atom
**Total moment**: 1.0 Bohr magnetons per cell

First-principles (GGA-PBE) data for KLi2GeO4 after structural relaxation, as listed in Alexandria.

abc: 5.3215 5.3215 5.3215
angles: 120.09 120.09 89.84
Positions (direct):
K 0.5000 0.5000 0.0000
Li 0.7500 0.2500 0.5000
Li 0.2500 0.7500 0.5000
Ge 0.0000 0.0000 0.0000
O 0.6674 0.6674 0.6290
O 0.9616 0.3326 0.0000
O 0.3326 0.9616 0.0000
O 0.0384 0.0384 0.3710

Calculated values
**E_tot**: -5.31 eV per atom
**Total moment**: 1.0 Bohr magnetons per cell

First-principles (GGA-PBE) data for K2LiGeP2 after structural relaxation, as listed in Alexandria.

abc: 6.2742 6.3277 8.6158
angles: 111.54 111.35 90.00
Positions (direct):
K 0.4062 0.1732 0.3463
K 0.5938 0.8268 0.6537
K 0.0599 0.3268 0.6537
K 0.9401 0.6732 0.3463
Li 0.0000 0.7500 0.0000
Li 0.0000 0.2500 0.0000
Ge 0.5000 0.7500 0.0000
Ge 0.5000 0.2500 0.0000
P 0.8217 0.0899 0.1798
P 0.3581 0.5899 0.1798
P 0.6419 0.4101 0.8202
P 0.1783 0.9101 0.8202

Calculated values
**E_tot**: -3.64 eV per atom
**Total moment**: 0.0 Bohr magnetons per cell
**Energy of formation**: -0.383 eV per atom